No. 1
Computed, not measured: an optimized crystal structure of TmAlRh2 at the PBE level of DFT.

The formation enthalpy at 0 K is -3.9 eV per formula unit. Its density of states at the Fermi level is 0.173 states/eV per atom. The calculated total energy comes out at -0.493 Ry/atom. The space group is No. 123.

a = 3.359 Å, b = 4.411 Å, c = 4.411 Å
α = 90.00°, β = 90.00°, γ = 90.00°
Positions (direct):
Tm  0.500  0.500  0.500
Rh  0.000  0.000  0.500
Rh  0.000  0.500  0.000
Al  0.500  0.000  0.000


No. 2
Computed, not measured: an optimized crystal structure of U2As3Ru at the PBE level of DFT.

The formation enthalpy at 0 K is -2.5 eV per formula unit. Its density of states at the Fermi level is 2.035 states/eV per atom. The calculated total energy comes out at -0.592 Ry/atom. The space group is No. 71.

a = 4.073 Å, b = 5.652 Å, c = 6.486 Å
α = 115.83°, β = 108.30°, γ = 90.00°
Each line ends with the local moment (μB).
Positions (direct):
U  0.676  0.176  0.353  2.02
U  0.324  0.824  0.647  2.02
As  0.359  0.359  0.717  -0.05
As  0.000  0.000  0.000  -0.07
As  0.641  0.641  0.283  -0.05
Ru  0.000  0.500  0.000  -0.24


No. 3
Computed, not measured: an optimized crystal structure of Ga3PbCl at the PBE level of DFT.

Its density of states at the Fermi level is 0.484 states/eV per atom. The calculated total energy comes out at -0.192 Ry/atom. The space group is No. 221. The value obtained for the energy above the most stable polymorph in this dataset is 0.0967 eV/atom. As for the energy relative to the elements, uncorrected: 314.0 meV per atom.

a = 5.754 Å, b = 5.754 Å, c = 5.754 Å
α = 90.00°, β = 90.00°, γ = 90.00°
Positions (direct):
Pb  0.000  0.000  0.000
Ga  0.000  0.500  0.000
Ga  0.000  0.000  0.500
Ga  0.500  0.000  0.000
Cl  0.500  0.500  0.500


No. 4
Computed, not measured: an optimized crystal structure of PIrBrO2 at the PBE level of DFT.

Its density of states at the Fermi level is 0.361 states/eV per atom. The calculated total energy comes out at -0.389 Ry/atom. The space group is No. 123. The value obtained for the energy above the most stable polymorph in this dataset is 0.0000 eV/atom. As for the energy relative to the elements, uncorrected: -121.2 meV per atom.

a = 3.791 Å, b = 3.791 Å, c = 5.329 Å
α = 90.00°, β = 90.00°, γ = 90.00°
Positions (direct):
P  0.000  0.000  0.500
Ir  0.000  0.000  0.000
O  0.000  0.500  0.000
O  0.500  0.000  0.000
Br  0.500  0.500  0.500


No. 5
Computed, not measured: an optimized crystal structure of Li2YPb at the PBE level of DFT.

The formation enthalpy at 0 K is -0.4 eV per formula unit. Its density of states at the Fermi level is 0.828 states/eV per atom. The calculated total energy comes out at -0.264 Ry/atom. The space group is No. 12.

a = 6.397 Å, b = 6.397 Å, c = 3.489 Å
α = 75.16°, β = 75.16°, γ = 121.08°
Each line ends with the local moment (μB).
Positions (direct):
Li  0.000  0.000  0.000  0.03
Li  0.500  0.500  0.000  0.03
Pb  0.500  0.000  0.500  0.01
Y  0.000  0.500  0.500  0.18


No. 6
Computed, not measured: an optimized crystal structure of ZnSn3Pt at the PBE level of DFT.

The formation enthalpy at 0 K is 3.0 eV per formula unit. Its density of states at the Fermi level is 0.382 states/eV per atom. The calculated total energy comes out at -0.240 Ry/atom. The space group is No. 221. The value obtained for the energy above the most stable polymorph in this dataset is 0.3884 eV/atom.

a = 5.076 Å, b = 5.076 Å, c = 5.076 Å
α = 90.00°, β = 90.00°, γ = 90.00°
Positions (direct):
Zn  0.000  0.000  0.000
Sn  0.000  0.500  0.000
Sn  0.000  0.000  0.500
Sn  0.500  0.000  0.000
Pt  0.500  0.500  0.500